[1]
CaSnN2O: relaxed, PBE-GGA.

Computed properties:
Formation energy without anion corrections: 4.132 eV per formula unit
Spin magnetization: 4.00 μB/cell

Cell lengths 4.550, 4.550, 4.336 Å; angles 90.00, 90.00, 90.00 degrees
Last column: magnetic moment on the atom in μB.
Sites, in units of the cell vectors:
Sn1 0.500 0.500 0.500  -0.06
O1 0.000 0.000 0.500  0.54
N1 0.500 0.000 0.000  1.19
N2 0.000 0.500 0.000  1.19
Ca1 0.000 0.000 0.000  0.05

***

[2]
CaSnN2O: relaxed, PBE-GGA.

Computed properties:
Formation energy without anion corrections: -0.788 eV per formula unit
Spin magnetization: 1.48 μB/cell

Cell lengths 4.143, 4.143, 4.187 Å; angles 90.00, 90.00, 90.00 degrees
Last column: magnetic moment on the atom in μB.
Sites, in units of the cell vectors:
Ca1 0.500 0.500 0.500  -0.01
N1 0.500 0.000 0.000  0.45
N2 0.000 0.500 0.000  0.45
Sn1 0.000 0.000 0.000  -0.01
O1 0.000 0.000 0.500  0.19

***

[3]
Ca6Sn2NO: relaxed, PBE-GGA.

Computed properties:
Formation energy without anion corrections: -12.385 eV per formula unit
Spin magnetization: 0.00 μB/cell

Cell lengths 6.900, 6.900, 6.900 Å; angles 60.00, 60.00, 60.00 degrees
Sites, in units of the cell vectors:
Sn1 0.250 0.250 0.250
Sn2 0.750 0.750 0.750
Ca1 0.252 0.748 0.252
Ca2 0.748 0.252 0.748
Ca3 0.748 0.252 0.252
Ca4 0.748 0.748 0.252
Ca5 0.252 0.748 0.748
Ca6 0.252 0.252 0.748
O1 0.000 0.000 0.000
N1 0.500 0.500 0.500

***

[4]
SrCaN2O: relaxed, PBE-GGA.

Computed properties:
Formation energy without anion corrections: 2.173 eV per formula unit
Spin magnetization: 4.00 μB/cell

Cell lengths 4.786, 4.786, 4.557 Å; angles 90.00, 90.00, 90.00 degrees
Last column: magnetic moment on the atom in μB.
Sites, in units of the cell vectors:
Sr1 0.000 0.000 0.000  0.08
Ca1 0.500 0.500 0.500  -0.02
N1 0.000 0.500 0.000  1.14
N2 0.500 0.000 0.000  1.14
O1 0.000 0.000 0.500  0.50

***

[5]
SrCaN2O: relaxed, PBE-GGA.

Computed properties:
Formation energy without anion corrections: 0.001 eV per formula unit
Spin magnetization: 4.00 μB/cell

Cell lengths 4.561, 4.561, 4.392 Å; angles 90.00, 90.00, 90.00 degrees
Last column: magnetic moment on the atom in μB.
Sites, in units of the cell vectors:
N1 0.000 0.500 0.000  1.15
N2 0.500 0.000 0.000  1.15
O1 0.000 0.000 0.500  0.47
Ca1 0.000 0.000 0.000  0.04
Sr1 0.500 0.500 0.500  -0.01

***

[6]
SrCaNO2: relaxed, PBE-GGA.

Computed properties:
Formation energy without anion corrections: -4.411 eV per formula unit
Spin magnetization: 3.00 μB/cell

Cell lengths 4.428, 4.428, 4.486 Å; angles 90.00, 90.00, 90.00 degrees
Last column: magnetic moment on the atom in μB.
Sites, in units of the cell vectors:
Ca1 0.000 0.000 0.000  0.01
O1 0.500 0.000 0.000  0.51
O2 0.000 0.500 0.000  0.51
Sr1 0.500 0.500 0.500  -0.01
N1 0.000 0.000 0.500  1.20